Entry A
A plane-wave DFT calculation with PBE-GGA was carried out for an optimized crystal structure of Sr4Cr5.

Lattice parameters (Å, degrees): 9.8317 9.8317 6.7900 90.00 90.00 120.00
With the nearest neighbours (Å) after each atom.
Fractional positions:
Sr: 0.0000 0.0000 0.0000  2 Sr 3.40, 6 Cr 3.50
Sr: 0.0000 0.0000 0.5000  2 Sr 3.40, 6 Cr 3.50
Sr: 0.0000 0.3640 0.2500  9 Cr 3.19-3.57
Sr: 0.6360 0.6360 0.2500  9 Cr 3.19-3.57
Sr: 0.3640 0.0000 0.2500  9 Cr 3.19-3.57
Sr: 0.0000 0.6360 0.7500  9 Cr 3.19-3.57
Sr: 0.3640 0.3640 0.7500  9 Cr 3.19-3.57
Sr: 0.6360 0.0000 0.7500  9 Cr 3.19-3.57
Cr: 0.0000 0.6888 0.2500  7 Sr 3.19-3.50
Cr: 0.3112 0.3112 0.2500  7 Sr 3.19-3.50
Cr: 0.6888 0.0000 0.2500  7 Sr 3.19-3.50
Cr: 0.0000 0.3112 0.7500  7 Sr 3.19-3.50
Cr: 0.6888 0.6888 0.7500  7 Sr 3.19-3.50
Cr: 0.3112 0.0000 0.7500  7 Sr 3.19-3.50
Cr: 0.6667 0.3333 0.0000  8 Cr 3.40-3.79, 6 Sr 3.57
Cr: 0.3333 0.6667 0.5000  8 Cr 3.40-3.79, 6 Sr 3.57
Cr: 0.3333 0.6667 0.0000  8 Cr 3.40-3.79, 6 Sr 3.57
Cr: 0.6667 0.3333 0.5000  8 Cr 3.40-3.79, 6 Sr 3.57

- Density of states at the Fermi level: 11.59 states/eV/cell

=====

Entry B
A plane-wave DFT calculation with PBE-GGA was carried out for an optimized crystal structure of Sr4Cr5.

Lattice parameters (Å, degrees): 8.4267 8.4267 8.4267 93.65 93.65 150.79
With the nearest neighbours (Å) after each atom.
Fractional positions:
Sr: 0.2836 0.0000 0.2836  5 Cr 3.24-3.27
Sr: 0.7164 0.0000 0.7164  5 Cr 3.24-3.27
Sr: 0.0000 0.7164 0.7164  5 Cr 3.24-3.27
Sr: 0.0000 0.2836 0.2836  5 Cr 3.24-3.27
Cr: 0.0000 0.0000 0.0000  8 Cr 2.60
Cr: 0.4079 0.5921 0.0000  2 Cr 2.12
Cr: 0.5921 0.4079 0.0000  2 Cr 2.12
Cr: 0.5921 0.5921 0.1842  2 Cr 2.12
Cr: 0.4079 0.4079 0.8158  2 Cr 2.12

- Density of states at the Fermi level: 7.02 states/eV/cell

=====

Unit: eV/atom. Relative energies: entry A 0.252; entry B 0.000.

=====

Entry A
A plane-wave DFT calculation with PBE-GGA was carried out for an optimized crystal structure of SrTaCr.

Lattice parameters (Å, degrees): 4.7397 4.7397 4.7397 60.00 60.00 60.00
With the nearest neighbours (Å) after each atom.
Fractional positions:
Cr: 0.7500 0.7500 0.7500  4 Ta 2.90, 4 Sr 2.90
Sr: 0.0000 0.0000 0.0000  4 Cr 2.90
Ta: 0.5000 0.5000 0.5000  4 Cr 2.90

- Density of states at the Fermi level: 3.75 states/eV/cell

=====

Entry B
A plane-wave DFT calculation with PBE-GGA was carried out for an optimized crystal structure of SrTaCr.

Lattice parameters (Å, degrees): 3.2820 3.2820 7.1958 90.00 90.00 120.00
With the nearest neighbours (Å) after each atom.
Fractional positions:
Cr: 0.0000 0.0000 0.9527  3 Ta 2.47
Sr: 0.6667 0.3333 0.3155  3 Cr 3.23, 6 Sr 3.28, 3 Ta 3.55
Ta: 0.3333 0.6667 0.7319  3 Cr 2.47

- Density of states at the Fermi level: 3.59 states/eV/cell

=====

Unit: eV/atom. Relative energies: entry A 0.466; entry B 0.000.

=====

Entry A
A plane-wave DFT calculation with PBE-GGA was carried out for an optimized crystal structure of Sr3TaCr.

Lattice parameters (Å, degrees): 5.9232 5.9232 5.9232 90.00 90.00 90.00
With the nearest neighbours (Å) after each atom.
Fractional positions:
Sr: 0.0000 0.5000 0.0000  2 Cr 2.96
Sr: 0.0000 0.0000 0.5000  2 Cr 2.96
Sr: 0.5000 0.0000 0.0000  2 Cr 2.96
Cr: 0.0000 0.0000 0.0000  6 Sr 2.96
Ta: 0.5000 0.5000 0.5000  12 Sr 4.19

- Density of states at the Fermi level: 6.89 states/eV/cell

=====

Entry B
A plane-wave DFT calculation with PBE-GGA was carried out for an optimized crystal structure of Sr3TaCr.

Lattice parameters (Å, degrees): 5.9470 5.9470 5.9470 90.00 90.00 90.00
With the nearest neighbours (Å) after each atom.
Fractional positions:
Sr: 0.0000 0.5000 0.0000  2 Ta 2.97
Sr: 0.0000 0.0000 0.5000  2 Ta 2.97
Sr: 0.5000 0.0000 0.0000  2 Ta 2.97
Cr: 0.5000 0.5000 0.5000  12 Sr 4.21
Ta: 0.0000 0.0000 0.0000  6 Sr 2.97

- Density of states at the Fermi level: 6.10 states/eV/cell

=====

Unit: eV/atom. Relative energies: entry A 0.114; entry B 0.000.

=====

Entry A
A plane-wave DFT calculation with PBE-GGA was carried out for an optimized crystal structure of SrTa3Cr.

Lattice parameters (Å, degrees): 4.8064 4.8064 4.8064 90.00 90.00 90.00
With the nearest neighbours (Å) after each atom.
Fractional positions:
Sr: 0.5000 0.5000 0.5000  12 Ta 3.40
Cr: 0.0000 0.0000 0.0000  6 Ta 2.40
Ta: 0.0000 0.5000 0.0000  2 Cr 2.40
Ta: 0.0000 0.0000 0.5000  2 Cr 2.40
Ta: 0.5000 0.0000 0.0000  2 Cr 2.40

- Density of states at the Fermi level: 5.19 states/eV/cell

=====

Entry B
A plane-wave DFT calculation with PBE-GGA was carried out for an optimized crystal structure of SrTa3Cr.

Lattice parameters (Å, degrees): 4.8662 4.8662 4.8662 90.00 90.00 90.00
With the nearest neighbours (Å) after each atom.
Fractional positions:
Sr: 0.0000 0.0000 0.0000  6 Ta 2.43
Cr: 0.5000 0.5000 0.5000  12 Ta 3.44
Ta: 0.0000 0.5000 0.0000  2 Sr 2.43
Ta: 0.0000 0.0000 0.5000  2 Sr 2.43
Ta: 0.5000 0.0000 0.0000  2 Sr 2.43

- Density of states at the Fermi level: 9.31 states/eV/cell

=====

Unit: eV/atom. Relative energies: entry A 0.000; entry B 2.084.

=====

Entry A
A plane-wave DFT calculation with PBE-GGA was carried out for an optimized crystal structure of SrCrTc3.

Lattice parameters (Å, degrees): 4.6068 4.6068 4.6068 90.00 90.00 90.00
With the nearest neighbours (Å) after each atom.
Fractional positions:
Sr: 0.5000 0.5000 0.5000  12 Tc 3.26
Tc: 0.0000 0.5000 0.0000  2 Cr 2.30
Tc: 0.0000 0.0000 0.5000  2 Cr 2.30
Tc: 0.5000 0.0000 0.0000  2 Cr 2.30
Cr: 0.0000 0.0000 0.0000  6 Tc 2.30

- Density of states at the Fermi level: 4.00 states/eV/cell

=====

Entry B
A plane-wave DFT calculation with PBE-GGA was carried out for an optimized crystal structure of SrCrTc3.

Lattice parameters (Å, degrees): 4.6586 4.6586 4.6586 90.00 90.00 90.00
With the nearest neighbours (Å) after each atom.
Fractional positions:
Sr: 0.0000 0.0000 0.0000  6 Tc 2.33
Tc: 0.0000 0.5000 0.0000  2 Sr 2.33
Tc: 0.0000 0.0000 0.5000  2 Sr 2.33
Tc: 0.5000 0.0000 0.0000  2 Sr 2.33
Cr: 0.5000 0.5000 0.5000  12 Tc 3.29

- Density of states at the Fermi level: 9.11 states/eV/cell

=====

Unit: eV/atom. Relative energies: entry A 0.000; entry B 2.356.

=====

Entry A
A plane-wave DFT calculation with PBE-GGA was carried out for an optimized crystal structure of SrCr2Tc.

Lattice parameters (Å, degrees): 4.7502 4.7502 5.8714 76.67 76.67 39.25
With the nearest neighbours (Å) after each atom.
Fractional positions:
Cr: 0.9594 0.9594 0.1438  2 Cr 2.25, 2 Tc 2.42
Cr: 0.5406 0.5406 0.3562  2 Cr 2.25, 2 Tc 2.42
Sr: 0.7500 0.7500 0.7500  2 Sr 3.19, 6 Cr 3.31-3.42, 4 Tc 3.34
Tc: 0.2500 0.2500 0.2500  4 Cr 2.42

- Density of states at the Fermi level: 4.93 states/eV/cell

=====

Entry B
A plane-wave DFT calculation with PBE-GGA was carried out for an optimized crystal structure of SrCr2Tc.

Lattice parameters (Å, degrees): 3.9159 2.9856 6.8808 76.15 90.00 90.00
With the nearest neighbours (Å) after each atom.
Fractional positions:
Cr: 0.0000 0.0540 0.8912  1 Cr 2.01
Cr: 0.0000 0.4460 0.6088  1 Cr 2.01
Sr: 0.5000 0.2500 0.2500  2 Sr 2.99, 4 Cr 3.31
Tc: 0.5000 0.7500 0.7500  4 Cr 2.45

- Density of states at the Fermi level: 4.60 states/eV/cell

=====

Unit: eV/atom. Relative energies: entry A 0.034; entry B 0.000.

=====

Entry A
A plane-wave DFT calculation with PBE-GGA was carried out for an optimized crystal structure of SrCr2Tc.

Lattice parameters (Å, degrees): 3.3184 4.8400 4.7302 90.00 90.00 90.00
With the nearest neighbours (Å) after each atom.
Fractional positions:
Cr: 0.0000 0.0000 0.0000  4 Sr 2.89, 4 Cr 2.93
Cr: 0.5000 0.5000 0.0000  4 Tc 2.89, 4 Cr 2.93
Sr: 0.5000 0.0000 0.5000  4 Cr 2.89, 4 Tc 2.93
Tc: 0.0000 0.5000 0.5000  4 Cr 2.89, 4 Sr 2.93

- Density of states at the Fermi level: 3.55 states/eV/cell

=====

Entry B
A plane-wave DFT calculation with PBE-GGA was carried out for an optimized crystal structure of SrCr2Tc.

Lattice parameters (Å, degrees): 4.5193 4.5193 4.5193 60.00 60.00 60.00
With the nearest neighbours (Å) after each atom.
Fractional positions:
Sr: 0.0000 0.0000 0.0000  8 Cr 2.77
Tc: 0.5000 0.5000 0.5000  8 Cr 2.77
Cr: 0.2500 0.2500 0.2500  4 Tc 2.77, 4 Sr 2.77
Cr: 0.7500 0.7500 0.7500  4 Tc 2.77, 4 Sr 2.77

- Density of states at the Fermi level: 8.07 states/eV/cell

=====

Entry C
A plane-wave DFT calculation with PBE-GGA was carried out for an optimized crystal structure of SrCr2Tc.

Lattice parameters (Å, degrees): 3.3353 3.3353 7.0958 90.00 90.00 90.00
With the nearest neighbours (Å) after each atom.
Fractional positions:
Cr: 0.0000 0.0000 0.8920  1 Cr 2.02
Cr: 0.0000 0.0000 0.6080  1 Cr 2.02
Sr: 0.5000 0.5000 0.2500  4 Sr 3.34, 8 Cr 3.47, 2 Tc 3.55
Tc: 0.5000 0.5000 0.7500  8 Cr 2.56

- Density of states at the Fermi level: 4.59 states/eV/cell

=====

Entry D
A plane-wave DFT calculation with PBE-GGA was carried out for an optimized crystal structure of SrCr2Tc.

Lattice parameters (Å, degrees): 5.3422 5.3422 2.6482 79.73 79.73 113.95
With the nearest neighbours (Å) after each atom.
Fractional positions:
Cr: 0.0000 0.0000 0.0000  4 Cr 2.65-2.91, 2 Tc 2.76, 2 Sr 2.76
Cr: 0.5000 0.5000 0.0000  4 Cr 2.65-2.91, 2 Sr 2.76, 2 Tc 2.76
Sr: 0.5000 0.0000 0.5000  2 Sr 2.65, 4 Cr 2.76, 2 Tc 2.91
Tc: 0.0000 0.5000 0.5000  2 Tc 2.65, 4 Cr 2.76, 2 Sr 2.91

- Density of states at the Fermi level: 4.96 states/eV/cell

=====

Unit: eV/atom. Relative energies: entry A 0.421; entry B 0.515; entry C 0.000; entry D 0.579.

=====

Entry A
A plane-wave DFT calculation with PBE-GGA was carried out for an optimized crystal structure of SrCr2Tc.

Lattice parameters (Å, degrees): 5.6597 5.6597 5.6597 147.37 125.51 64.97
With the nearest neighbours (Å) after each atom.
Fractional positions:
Cr: 0.0316 0.0316 0.0000  2 Tc 2.27
Cr: 0.7787 0.2787 0.5000  4 Cr 2.89-3.18, 4 Tc 3.13, 2 Sr 3.20
Sr: 0.4877 0.4877 0.0000  8 Cr 3.07-3.27, 4 Tc 3.16-3.30, 2 Sr 3.18
Tc: 0.2019 0.7019 0.5000  2 Cr 2.27

- Density of states at the Fermi level: 4.02 states/eV/cell

=====

Entry B
A plane-wave DFT calculation with PBE-GGA was carried out for an optimized crystal structure of SrCr2Tc.

Lattice parameters (Å, degrees): 4.8761 4.8761 3.1553 90.00 90.00 90.00
With the nearest neighbours (Å) after each atom.
Fractional positions:
Cr: 0.0000 0.0000 0.0000  4 Tc 2.90, 4 Sr 2.90, 2 Cr 3.16
Cr: 0.5000 0.5000 0.0000  4 Tc 2.90, 4 Sr 2.90, 2 Cr 3.16
Sr: 0.5000 0.0000 0.5000  8 Cr 2.90, 2 Sr 3.16
Tc: 0.0000 0.5000 0.5000  8 Cr 2.90, 2 Tc 3.16

- Density of states at the Fermi level: 5.52 states/eV/cell

=====

Entry C
A plane-wave DFT calculation with PBE-GGA was carried out for an optimized crystal structure of SrCr2Tc.

Lattice parameters (Å, degrees): 4.1687 4.1687 6.2631 70.55 70.55 59.97
With the nearest neighbours (Å) after each atom.
Fractional positions:
Cr: 0.0030 0.0030 0.9912  3 Cr 2.44, 3 Tc 2.46
Cr: 0.6916 0.6916 0.9250  3 Cr 2.44, 3 Tc 2.57
Sr: 0.4993 0.4993 0.5021  7 Cr 3.34-3.71, 4 Tc 3.35-3.42
Tc: 0.3061 0.3061 0.0817  6 Cr 2.46-2.57

- Density of states at the Fermi level: 4.94 states/eV/cell

=====

Unit: eV/atom. Relative energies: entry A 0.304; entry B 0.540; entry C 0.000.